Entry 1:
This record from Alexandria describes a relaxed V2SbW crystal. The functional is PBE.

Cell: 5.8149 5.8149 5.8149 Å, 102.75 102.75 123.97°
Closest atoms and distances in Å follow each position.
Atoms (fractional coordinates):
1 V 0.0846 0.6250 0.9596  2 W 2.46
2 V 0.3750 0.3346 0.4596  2 W 2.46
3 V 0.6654 0.1250 0.0404  2 W 2.46
4 V 0.8750 0.9154 0.5404  2 W 2.46
5 Sb 0.2500 0.7500 0.5000  2 W 2.73, 4 V 2.86
6 Sb 0.5000 0.5000 0.0000  2 W 2.73, 4 V 2.86
7 W 0.0000 0.0000 0.0000  4 V 2.46, 2 Sb 2.73
8 W 0.7500 0.2500 0.5000  4 V 2.46, 2 Sb 2.73

Calculated values
Total magnetization, μB per atom: 0.000
Formation energy without anion corrections, eV per atom: 0.75
Fermi-level density of states, states/eV per cell: 8.6
E, eV/atom: -8.078
Crystal system: tetragonal

---

Entry 2:
This record from Alexandria describes a relaxed PRhPb crystal. The functional is PBE.

Cell: 6.2286 6.2286 6.2286 Å, 90.00 90.00 90.00°
Closest atoms and distances in Å follow each position.
Atoms (fractional coordinates):
1 P 0.1338 0.1338 0.1338  3 Rh 2.31
2 P 0.3662 0.8662 0.6338  3 Rh 2.31
3 P 0.6338 0.3662 0.8662  3 Rh 2.31
4 P 0.8662 0.6338 0.3662  3 Rh 2.31
5 Rh 0.0580 0.9420 0.4420  3 P 2.31
6 Rh 0.4420 0.0580 0.9420  3 P 2.31
7 Rh 0.5580 0.5580 0.5580  3 P 2.31
8 Rh 0.9420 0.4420 0.0580  3 P 2.31
9 Pb 0.1422 0.3578 0.6422  4 Rh 2.92-3.23, 1 P 2.98
10 Pb 0.3578 0.6422 0.1422  4 Rh 2.92-3.23, 1 P 2.98
11 Pb 0.6422 0.1422 0.3578  4 Rh 2.92-3.23, 1 P 2.98
12 Pb 0.8578 0.8578 0.8578  4 Rh 2.92-3.23, 1 P 2.98

Calculated values
Total magnetization, μB per atom: 0.000
ΔE_f, meV/atom: -286
Fermi-level density of states, states/eV per cell: 9.8
E, eV/atom: -5.775
Crystal system: cubic

---

Entry 3:
This record from Alexandria describes a relaxed HgSbPbAu2 crystal. The functional is PBE.

Cell: 7.2338 7.2338 8.9358 Å, 110.59 110.59 36.60°
Closest atoms and distances in Å follow each position.
Atoms (fractional coordinates):
1 Hg 0.0442 0.0442 0.3770  1 Hg 2.88, 3 Au 2.94-3.01
2 Hg 0.9558 0.9558 0.6230  1 Hg 2.88, 3 Au 2.94-3.01
3 Sb 0.3989 0.3989 0.0785  5 Au 2.78-2.94
4 Sb 0.6011 0.6011 0.9215  5 Au 2.78-2.94
5 Pb 0.2862 0.2862 0.3730  5 Au 3.06-3.16, 1 Hg 3.34
6 Pb 0.7138 0.7138 0.6270  5 Au 3.06-3.16, 1 Hg 3.34
7 Au 0.1844 0.1844 0.8351  3 Sb 2.78-2.94, 1 Au 3.00, 1 Hg 3.01, 2 Pb 3.06
8 Au 0.3774 0.3774 0.7538  2 Sb 2.80-2.88, 2 Hg 2.94, 1 Au 3.00, 2 Pb 3.10
9 Au 0.6226 0.6226 0.2462  2 Sb 2.80-2.88, 2 Hg 2.94, 1 Au 3.00, 2 Pb 3.10
10 Au 0.8156 0.8156 0.1649  3 Sb 2.78-2.94, 1 Au 3.00, 1 Hg 3.01, 2 Pb 3.06

Calculated values
Total magnetization, μB per atom: 0.000
Formation energy without anion corrections, eV per atom: -0.02
Fermi-level density of states, states/eV per cell: 3.3
E, eV/atom: -2.962
Crystal system: monoclinic

---

Entry 4:
This record from Alexandria describes a relaxed SmTmAu4 crystal. The functional is PBE.

Cell: 5.2657 5.2657 7.5488 Å, 110.71 110.71 41.76°
Closest atoms and distances in Å follow each position.
Atoms (fractional coordinates):
1 Sm 0.0000 0.0000 0.0000  10 Au 3.07-3.10
2 Tm 0.0000 0.0000 0.5000  10 Au 3.00-3.04
3 Au 0.3340 0.3340 0.6601  5 Au 3.00-3.06, 3 Tm 3.02-3.04, 2 Sm 3.10
4 Au 0.3369 0.3369 0.1789  5 Au 3.00-3.20, 2 Tm 3.00, 3 Sm 3.07-3.09
5 Au 0.6631 0.6631 0.8211  5 Au 3.00-3.20, 2 Tm 3.00, 3 Sm 3.07-3.09
6 Au 0.6660 0.6660 0.3399  5 Au 3.00-3.06, 3 Tm 3.02-3.04, 2 Sm 3.10

Calculated values
Total magnetization, μB per atom: 0.000
ΔE_f, meV/atom: -841
Fermi-level density of states, states/eV per cell: 2.4
E, eV/atom: -4.557
Crystal system: monoclinic

---

Entry 5:
This record from Alexandria describes a relaxed NpPd2Ru crystal. The functional is PBE.

Cell: 3.9387 3.9387 4.3595 Å, 90.00 90.00 90.00°
Closest atoms and distances in Å follow each position.
Atoms (fractional coordinates):
1 Np 0.0000 0.0000 0.0000  4 Ru 2.79, 8 Pd 2.94
2 Pd 0.0000 0.5000 0.5000  4 Pd 2.79, 4 Ru 2.94, 4 Np 2.94
3 Pd 0.5000 0.0000 0.5000  4 Pd 2.79, 4 Ru 2.94, 4 Np 2.94
4 Ru 0.5000 0.5000 0.0000  4 Np 2.79, 8 Pd 2.94

Calculated values
Total magnetization, μB per atom: 0.458
ΔE_f, meV/atom: -278
Fermi-level density of states, states/eV per cell: 9.0
E, eV/atom: -8.429
Crystal system: tetragonal

---

Entry 6:
This record from Alexandria describes a relaxed SrScNb2Bi crystal. The functional is PBE.

Cell: 4.9340 4.9340 5.8404 Å, 90.00 90.00 90.00°
Closest atoms and distances in Å follow each position.
Atoms (fractional coordinates):
1 Sr 0.0000 0.0000 0.0000  2 Sc 2.92
2 Sc 0.0000 0.0000 0.5000  4 Nb 2.47
3 Nb 0.0000 0.5000 0.5000  2 Sc 2.47
4 Nb 0.5000 0.0000 0.5000  2 Sc 2.47
5 Bi 0.5000 0.5000 0.0000  4 Sr 3.49, 8 Nb 3.82

Calculated values
Total magnetization, μB per atom: 0.080
ΔE_f, meV/atom: 1207
Fermi-level density of states, states/eV per cell: 5.9
E, eV/atom: -5.200
Crystal system: tetragonal

---

Q: What is the formula in the second record?
A: PRhPb

---

Q: Which value of Fermi-level density of states does entry 3 give?
A: 3.3 states/eV per cell